{"formula": "Sm6Cu5Hg", "functional": "GGA-PBE", "state": "optimized geometry", "formation_energy_ev_per_atom": -0.217, "n_ef_per_ev_cell": 7.1, "cell": [[2.544, -7.621, 0.000], [2.544, 7.621, 0.000], [0.000, 0.000, 7.183]], "species": ["Sm", "Sm", "Sm", "Sm", "Sm", "Sm", "Cu", "Cu", "Cu", "Cu", "Cu", "Hg"], "frac_coords": [[0.000, 0.000, 0.238], [0.000, 0.000, 0.762], [0.329, 0.671, 0.245], [0.329, 0.671, 0.755], [0.671, 0.329, 0.245], [0.671, 0.329, 0.755], [0.164, 0.836, 0.500], [0.165, 0.835, 0.000], [0.500, 0.500, 0.000], [0.835, 0.165, 0.000], [0.836, 0.164, 0.500], [0.500, 0.500, 0.500]]}



{"formula": "Sm6CuHg3", "functional": "GGA-PBE", "state": "optimized geometry", "formation_energy_ev_per_atom": -0.275, "n_ef_per_ev_cell": 19.8, "cell": [[9.327, 0.000, 0.000], [0.000, 5.304, 0.000], [-3.769, 0.000, 11.151]], "species": ["Sm", "Sm", "Sm", "Sm", "Sm", "Sm", "Sm", "Sm", "Sm", "Sm", "Sm", "Sm", "Cu", "Cu", "Hg", "Hg", "Hg", "Hg", "Hg", "Hg"], "frac_coords": [[0.021, 0.250, 0.405], [0.167, 0.750, 0.176], [0.249, 0.250, 0.002], [0.371, 0.750, 0.844], [0.375, 0.250, 0.350], [0.390, 0.250, 0.638], [0.610, 0.750, 0.362], [0.625, 0.750, 0.650], [0.629, 0.250, 0.156], [0.751, 0.750, 0.998], [0.833, 0.250, 0.824], [0.979, 0.750, 0.595], [0.442, 0.750, 0.108], [0.558, 0.250, 0.892], [0.026, 0.750, 0.876], [0.112, 0.250, 0.721], [0.272, 0.750, 0.474], [0.728, 0.250, 0.526], [0.888, 0.750, 0.279], [0.974, 0.250, 0.124]]}



{"formula": "Sm8CuHg2", "functional": "GGA-PBE", "state": "optimized geometry", "formation_energy_ev_per_atom": -0.167, "n_ef_per_ev_cell": 10.8, "cell": [[9.191, -2.634, 0.000], [9.191, 2.634, 0.000], [-1.764, 0.000, 6.709]], "species": ["Sm", "Sm", "Sm", "Sm", "Sm", "Sm", "Sm", "Sm", "Cu", "Hg", "Hg"], "frac_coords": [[0.020, 0.020, 0.276], [0.201, 0.201, 0.812], [0.343, 0.343, 0.527], [0.410, 0.410, 0.048], [0.590, 0.590, 0.952], [0.657, 0.657, 0.473], [0.799, 0.799, 0.188], [0.980, 0.980, 0.724], [0.500, 0.500, 0.500], [0.185, 0.185, 0.237], [0.815, 0.815, 0.763]]}



{"formula": "Sm3Cu4Hg2", "functional": "GGA-PBE", "state": "optimized geometry", "formation_energy_ev_per_atom": -0.277, "n_ef_per_ev_cell": 5.3, "cell": [[5.468, -2.226, 0.000], [5.468, 2.226, 0.000], [-3.688, 0.000, 7.869]], "species": ["Sm", "Sm", "Sm", "Cu", "Cu", "Cu", "Cu", "Hg", "Hg"], "frac_coords": [[0.000, 0.000, 0.000], [0.353, 0.353, 0.312], [0.647, 0.647, 0.688], [0.068, 0.068, 0.415], [0.269, 0.269, 0.946], [0.731, 0.731, 0.054], [0.932, 0.932, 0.585], [0.359, 0.359, 0.698], [0.641, 0.641, 0.302]]}



{"formula": "Sm5Cu2Hg", "functional": "GGA-PBE", "state": "optimized geometry", "formation_energy_ev_per_atom": -0.198, "n_ef_per_ev_cell": 19.3, "cell": [[-4.053, 4.053, 6.450], [4.053, -4.053, 6.450], [4.053, 4.053, -6.450]], "species": ["Sm", "Sm", "Sm", "Sm", "Sm", "Sm", "Sm", "Sm", "Sm", "Sm", "Cu", "Cu", "Cu", "Cu", "Hg", "Hg"], "frac_coords": [[0.000, 0.000, 0.000], [0.013, 0.513, 0.812], [0.201, 0.013, 0.500], [0.299, 0.799, 0.812], [0.487, 0.299, 0.500], [0.500, 0.500, 0.000], [0.513, 0.701, 0.500], [0.701, 0.201, 0.188], [0.799, 0.987, 0.500], [0.987, 0.487, 0.188], [0.127, 0.373, 0.500], [0.373, 0.873, 0.245], [0.627, 0.127, 0.755], [0.873, 0.627, 0.500], [0.250, 0.250, 0.000], [0.750, 0.750, 0.000]]}



{"formula": "Sm3CuHg", "functional": "GGA-PBE", "state": "optimized geometry", "e_above_lowest_polymorph_mev_per_atom": 0, "formation_energy_ev_per_atom": -0.223, "n_ef_per_ev_cell": 10.4, "cell": [[2.611, -9.901, 0.000], [2.611, 9.901, 0.000], [0.000, 0.000, 5.223]], "species": ["Sm", "Sm", "Sm", "Sm", "Sm", "Sm", "Cu", "Cu", "Hg", "Hg"], "frac_coords": [[0.066, 0.934, 0.750], [0.250, 0.750, 0.750], [0.434, 0.566, 0.750], [0.566, 0.434, 0.250], [0.750, 0.250, 0.250], [0.934, 0.066, 0.250], [0.158, 0.842, 0.250], [0.842, 0.158, 0.750], [0.343, 0.657, 0.250], [0.657, 0.343, 0.750]]}



{"formula": "Sm4CuHg2", "functional": "GGA-PBE", "state": "optimized geometry", "formation_energy_ev_per_atom": -0.225, "n_ef_per_ev_cell": 7.1, "cell": [[-2.537, 2.537, 7.559], [2.537, -2.537, 7.559], [2.537, 2.537, -7.559]], "species": ["Sm", "Sm", "Sm", "Sm", "Cu", "Hg", "Hg"], "frac_coords": [[0.113, 0.613, 0.500], [0.387, 0.887, 0.500], [0.613, 0.113, 0.500], [0.887, 0.387, 0.500], [0.000, 0.000, 0.000], [0.250, 0.250, 0.000], [0.750, 0.750, 0.000]]}



{"formula": "SmCu5Hg", "functional": "GGA-PBE", "state": "optimized geometry", "formation_energy_ev_per_atom": -0.172, "n_ef_per_ev_cell": 12.9, "cell": [[8.347, 0.000, 0.000], [0.000, 5.077, 0.000], [0.000, 0.000, 10.542]], "species": ["Sm", "Sm", "Sm", "Sm", "Cu", "Cu", "Cu", "Cu", "Cu", "Cu", "Cu", "Cu", "Cu", "Cu", "Cu", "Cu", "Cu", "Cu", "Cu", "Cu", "Cu", "Cu", "Cu", "Cu", "Hg", "Hg", "Hg", "Hg"], "frac_coords": [[0.244, 0.250, 0.065], [0.256, 0.750, 0.565], [0.744, 0.250, 0.435], [0.756, 0.750, 0.935], [0.054, 0.750, 0.110], [0.068, 0.000, 0.314], [0.068, 0.500, 0.314], [0.082, 0.250, 0.516], [0.186, 0.250, 0.741], [0.314, 0.750, 0.241], [0.418, 0.750, 0.016], [0.432, 0.000, 0.814], [0.432, 0.500, 0.814], [0.446, 0.250, 0.610], [0.554, 0.750, 0.390], [0.568, 0.000, 0.186], [0.568, 0.500, 0.186], [0.582, 0.250, 0.984], [0.686, 0.250, 0.759], [0.814, 0.750, 0.259], [0.918, 0.750, 0.484], [0.932, 0.000, 0.686], [0.932, 0.500, 0.686], [0.946, 0.250, 0.890], [0.136, 0.750, 0.865], [0.364, 0.250, 0.365], [0.636, 0.750, 0.635], [0.864, 0.250, 0.135]]}



{"formula": "Sm3Cu2Hg", "functional": "GGA-PBE", "state": "optimized geometry", "formation_energy_ev_per_atom": -0.256, "n_ef_per_ev_cell": 8.9, "cell": [[5.141, 0.000, 0.000], [-2.571, 4.452, 0.000], [0.000, 0.000, 12.655]], "species": ["Sm", "Sm", "Sm", "Sm", "Sm", "Sm", "Cu", "Cu", "Cu", "Cu", "Hg", "Hg"], "frac_coords": [[0.000, 0.000, 0.237], [0.000, 0.000, 0.763], [0.333, 0.667, 0.417], [0.333, 0.667, 0.928], [0.667, 0.333, 0.072], [0.667, 0.333, 0.583], [0.000, 0.000, 0.000], [0.000, 0.000, 0.500], [0.333, 0.667, 0.169], [0.667, 0.333, 0.831], [0.333, 0.667, 0.673], [0.667, 0.333, 0.327]]}



{"formula": "Sm4Cu3Hg", "functional": "GGA-PBE", "state": "optimized geometry", "formation_energy_ev_per_atom": -0.234, "n_ef_per_ev_cell": 8.3, "cell": [[3.856, 0.000, 0.000], [0.000, 4.640, 0.000], [0.000, 0.000, 10.859]], "species": ["Sm", "Sm", "Sm", "Sm", "Cu", "Cu", "Cu", "Hg"], "frac_coords": [[0.000, 0.000, 0.000], [0.000, 0.500, 0.267], [0.500, 0.000, 0.472], [0.500, 0.500, 0.779], [0.000, 0.500, 0.548], [0.500, 0.000, 0.197], [0.500, 0.500, 0.064], [0.000, 0.000, 0.704]]}



{"formula": "SmCuHg", "functional": "GGA-PBE", "state": "optimized geometry", "formation_energy_ev_per_atom": -0.324, "n_ef_per_ev_cell": 4.1, "cell": [[5.083, -2.224, 0.000], [5.083, 2.224, 0.000], [-4.137, 0.000, 5.848]], "species": ["Sm", "Sm", "Cu", "Cu", "Hg", "Hg"], "frac_coords": [[0.057, 0.057, 0.308], [0.943, 0.943, 0.692], [0.361, 0.361, 0.328], [0.639, 0.639, 0.672], [0.319, 0.319, 0.892], [0.681, 0.681, 0.108]]}



{"formula": "SmCuHg5", "functional": "GGA-PBE", "state": "optimized geometry", "formation_energy_ev_per_atom": -0.181, "n_ef_per_ev_cell": 4.7, "cell": [[4.741, 0.000, 0.000], [0.000, 4.741, 0.000], [0.000, 0.000, 7.434]], "species": ["Sm", "Cu", "Hg", "Hg", "Hg", "Hg", "Hg"], "frac_coords": [[0.000, 0.000, 0.000], [0.000, 0.000, 0.500], [0.000, 0.500, 0.299], [0.000, 0.500, 0.701], [0.500, 0.000, 0.299], [0.500, 0.000, 0.701], [0.500, 0.500, 0.000]]}



{"formula": "TbSmCuHg", "functional": "GGA-PBE", "state": "optimized geometry", "e_above_lowest_polymorph_mev_per_atom": 23, "formation_energy_ev_per_atom": -0.311, "n_ef_per_ev_cell": 2.3, "cell": [[0.000, 3.658, 3.658], [3.658, 0.000, 3.658], [3.658, 3.658, 0.000]], "species": ["Tb", "Sm", "Cu", "Hg"], "frac_coords": [[0.000, 0.000, 0.000], [0.500, 0.500, 0.500], [0.750, 0.750, 0.750], [0.250, 0.250, 0.250]]}



{"formula": "TbSmCuHg", "functional": "GGA-PBE", "state": "optimized geometry", "e_above_lowest_polymorph_mev_per_atom": 0, "formation_energy_ev_per_atom": -0.334, "n_ef_per_ev_cell": 3.9, "cell": [[3.603, 0.000, 0.000], [0.000, 3.603, 0.000], [0.000, 0.000, 7.462]], "species": ["Tb", "Sm", "Cu", "Hg"], "frac_coords": [[0.000, 0.000, 0.000], [0.000, 0.000, 0.543], [0.500, 0.500, 0.783], [0.500, 0.500, 0.264]]}



{"formula": "SmThCuHg", "functional": "GGA-PBE", "state": "optimized geometry", "formation_energy_ev_per_atom": -0.160, "n_ef_per_ev_cell": 4.5, "cell": [[0.000, 3.707, 3.707], [3.707, 0.000, 3.707], [3.707, 3.707, 0.000]], "species": ["Sm", "Th", "Cu", "Hg"], "frac_coords": [[0.000, 0.000, 0.000], [0.500, 0.500, 0.500], [0.750, 0.750, 0.750], [0.250, 0.250, 0.250]]}



{"formula": "SmTmCuHg", "functional": "GGA-PBE", "state": "optimized geometry", "e_above_lowest_polymorph_mev_per_atom": 27, "formation_energy_ev_per_atom": -0.317, "n_ef_per_ev_cell": 2.9, "cell": [[0.000, 3.627, 3.627], [3.627, 0.000, 3.627], [3.627, 3.627, 0.000]], "species": ["Sm", "Tm", "Cu", "Hg"], "frac_coords": [[0.000, 0.000, 0.000], [0.500, 0.500, 0.500], [0.750, 0.750, 0.750], [0.250, 0.250, 0.250]]}



{"formula": "SmTmCuHg", "functional": "GGA-PBE", "state": "optimized geometry", "e_above_lowest_polymorph_mev_per_atom": 0, "formation_energy_ev_per_atom": -0.344, "n_ef_per_ev_cell": 4.3, "cell": [[3.543, 0.000, 0.000], [0.000, 3.543, 0.000], [0.000, 0.000, 7.508]], "species": ["Sm", "Tm", "Cu", "Hg"], "frac_coords": [[0.000, 0.000, 0.000], [0.000, 0.000, 0.454], [0.500, 0.500, 0.249], [0.500, 0.500, 0.714]]}



{"formula": "SmYCuHg", "functional": "GGA-PBE", "state": "optimized geometry", "e_above_lowest_polymorph_mev_per_atom": 0, "formation_energy_ev_per_atom": -0.338, "n_ef_per_ev_cell": 4.2, "cell": [[3.591, 0.000, 0.000], [0.000, 3.591, 0.000], [0.000, 0.000, 7.501]], "species": ["Sm", "Y", "Cu", "Hg"], "frac_coords": [[0.000, 0.000, 0.000], [0.000, 0.000, 0.457], [0.500, 0.500, 0.239], [0.500, 0.500, 0.721]]}



{"formula": "SmYCuHg", "functional": "GGA-PBE", "state": "optimized geometry", "e_above_lowest_polymorph_mev_per_atom": 19, "formation_energy_ev_per_atom": -0.320, "n_ef_per_ev_cell": 2.5, "cell": [[0.000, 3.656, 3.656], [3.656, 0.000, 3.656], [3.656, 3.656, 0.000]], "species": ["Sm", "Y", "Cu", "Hg"], "frac_coords": [[0.000, 0.000, 0.000], [0.500, 0.500, 0.500], [0.750, 0.750, 0.750], [0.250, 0.250, 0.250]]}



{"formula": "Sm4Zn2CuHg", "functional": "GGA-PBE", "state": "optimized geometry", "formation_energy_ev_per_atom": -0.307, "n_ef_per_ev_cell": 8.6, "cell": [[2.589, 1.495, 8.468], [-2.589, 1.495, 8.468], [0.000, -2.990, 8.468]], "species": ["Sm", "Sm", "Sm", "Sm", "Zn", "Zn", "Cu", "Hg"], "frac_coords": [[0.120, 0.120, 0.120], [0.370, 0.370, 0.370], [0.630, 0.630, 0.630], [0.880, 0.880, 0.880], [0.248, 0.248, 0.248], [0.752, 0.752, 0.752], [0.000, 0.000, 0.000], [0.500, 0.500, 0.500]]}



{"formula": "SmZrCuHg", "functional": "GGA-PBE", "state": "optimized geometry", "formation_energy_ev_per_atom": -0.099, "n_ef_per_ev_cell": 3.5, "cell": [[0.000, 3.557, 3.557], [3.557, 0.000, 3.557], [3.557, 3.557, 0.000]], "species": ["Sm", "Zr", "Cu", "Hg"], "frac_coords": [[0.000, 0.000, 0.000], [0.500, 0.500, 0.500], [0.750, 0.750, 0.750], [0.250, 0.250, 0.250]]}



{"formula": "CuSn3Hg", "functional": "GGA-PBE", "state": "optimized geometry", "e_above_lowest_polymorph_mev_per_atom": 0, "formation_energy_ev_per_atom": 0.231, "n_ef_per_ev_cell": 3.7, "cell": [[5.150, 0.000, 0.000], [0.000, 5.150, 0.000], [0.000, 0.000, 5.150]], "species": ["Cu", "Sn", "Sn", "Sn", "Hg"], "frac_coords": [[0.000, 0.000, 0.000], [0.000, 0.000, 0.500], [0.000, 0.500, 0.000], [0.500, 0.000, 0.000], [0.500, 0.500, 0.500]]}



{"formula": "CuSn2Hg", "functional": "GGA-PBE", "state": "optimized geometry", "formation_energy_ev_per_atom": 0.080, "n_ef_per_ev_cell": 1.5, "cell": [[3.222, 0.000, 0.000], [0.000, 3.222, 0.000], [0.000, 0.000, 9.172]], "species": ["Cu", "Sn", "Sn", "Hg"], "frac_coords": [[0.000, 0.000, 0.000], [0.500, 0.500, 0.193], [0.500, 0.500, 0.807], [0.000, 0.000, 0.500]]}



{"formula": "CuSn2Hg", "functional": "GGA-PBE", "state": "optimized geometry", "formation_energy_ev_per_atom": 0.121, "n_ef_per_ev_cell": 1.6, "cell": [[1.639, 0.946, 10.341], [-1.639, 0.946, 10.341], [0.000, -1.892, 10.341]], "species": ["Cu", "Sn", "Sn", "Hg"], "frac_coords": [[0.000, 0.000, 0.000], [0.400, 0.400, 0.400], [0.600, 0.600, 0.600], [0.500, 0.500, 0.500]]}